Ho3Er2Tm6Th: relaxed, PBE.

Calculated values
ΔH_f (0 K): 0.025 eV per atom

Cell and atoms, written as CIF:
```
data_Ho3Er2Tm6Th
_chemical_formula_sum 'Ho3 Er2 Tm6 Th1'
_cell_length_a 6.080
_cell_length_b 6.080
_cell_length_c 11.623
_cell_angle_alpha 95.01
_cell_angle_beta 95.01
_cell_angle_gamma 119.98
_space_group_name_H-M_alt 'P 1'
_space_group_IT_number 1
loop_
_space_group_symop_operation_xyz
'x,y,z'
loop_
_atom_site_label
_atom_site_type_symbol
_atom_site_fract_x
_atom_site_fract_y
_atom_site_fract_z
_atom_site_occupancy
Ho1 Ho 0.000 0.000 0.000 1
Ho2 Ho 0.333 0.667 0.000 1
Ho3 Ho 0.667 0.333 0.000 1
Er1 Er 0.167 0.833 0.500 1
Er2 Er 0.833 0.167 0.500 1
Tm1 Tm 0.086 0.417 0.250 1
Tm2 Tm 0.253 0.253 0.749 1
Tm3 Tm 0.417 0.086 0.250 1
Tm4 Tm 0.583 0.914 0.750 1
Tm5 Tm 0.747 0.747 0.251 1
Tm6 Tm 0.914 0.583 0.750 1
Th1 Th 0.500 0.500 0.500 1
```